1.
A plane-wave DFT calculation with PBE+U was carried out for a relaxed NbMoP2O crystal.

Structure (POSCAR):
```
NbMoP2O
1.0
4.877 0.000 0.000
0.000 4.877 0.000
0.000 0.000 3.714
Nb Mo P O
1 1 2 1
Direct
0.000 0.000 0.000
0.500 0.500 0.500
0.000 0.500 0.500
0.500 0.000 0.500
0.500 0.500 0.000
```

- polymorph energy (0 for the lowest one) (eV/atom) = 0.371
- space-group type = P4/mmm (123)

---

2.
A plane-wave DFT calculation with PBE+U was carried out for a relaxed NbMoPO2 crystal.

Structure (POSCAR):
```
NbMoPO2
1.0
3.920 0.000 0.000
0.000 3.920 0.000
0.000 0.000 5.375
Nb Mo P O
1 1 1 2
Direct
0.000 0.000 0.000
0.500 0.500 0.500
0.000 0.000 0.500
0.000 0.500 0.000
0.500 0.000 0.000
```

- polymorph energy (0 for the lowest one) (eV/atom) = 0.000
- space-group type = P4/mmm (123)

---

3.
A plane-wave DFT calculation with PBE+U was carried out for a relaxed PaNbMoO6 crystal.

Structure (POSCAR):
```
PaNbMoO6
1.0
5.560 0.000 0.000
-2.780 4.815 0.000
0.000 0.000 9.055
Pa Nb Mo O
2 2 2 12
Direct
0.333 0.667 0.250
0.667 0.333 0.750
0.333 0.667 0.750
0.667 0.333 0.250
0.000 0.000 0.000
0.000 0.000 0.500
0.020 0.348 0.630
0.020 0.672 0.870
0.328 0.348 0.870
0.328 0.980 0.630
0.348 0.020 0.130
0.348 0.328 0.370
0.652 0.672 0.630
0.652 0.980 0.870
0.672 0.020 0.370
0.672 0.652 0.130
0.980 0.328 0.130
0.980 0.652 0.370
```

- DFT total energy (eV per formula unit) = -79.33
- space-group type = P-31c (163)

---

Number 1: calculated density 5.02 g/cm³. Number 2: calculated density 5.06 g/cm³. Number 3: calculated density 7.07 g/cm³.